Here is crystalline BaEu2Pb at its relaxed geometry from Alexandria. Energies are from PBE-GGA.

```
4
Lattice="-0.110 -4.401 3.035 3.595 -2.280 -3.176 3.908 1.975 3.006" Properties=species:S:1:pos:R:3 pbc="T T T"
Eu 1.954 0.987 1.503
Eu 1.797 -1.140 -1.588
Pb 3.696 -2.353 1.432
Ba -0.055 -2.200 1.517
```

Results
The symmetry is No. 123. Its density of states at the Fermi level is 13.233 states/eV/f.u. The energy above the lowest structure with this stoichiometry comes out at 0 meV/atom. The value obtained for the total magnetization is 14.75 μB/f.u.

=====

Here is crystalline BaEu2Pb at its relaxed geometry from Alexandria. Energies are from PBE-GGA.

```
4
Lattice="5.909 0.000 0.000 2.954 5.117 0.000 2.954 1.706 4.825" Properties=species:S:1:pos:R:3 pbc="T T T"
Eu 8.863 5.117 3.618
Ba 0.000 0.000 0.000
Eu 2.954 1.706 1.206
Pb 5.909 3.411 2.412
```

Results
The symmetry is No. 225. Its density of states at the Fermi level is 4.134 states/eV/f.u. The energy above the lowest structure with this stoichiometry comes out at 99 meV/atom. The value obtained for the total magnetization is 15.84 μB/f.u.

=====

Number 1: raw total energy -0.503 Ry per atom, ΔH_f (0 K) -116 kJ/mol of formula units. Number 2: raw total energy -0.496 Ry per atom, ΔH_f (0 K) -77 kJ/mol of formula units.